DFT (PBE) results for an optimized crystal structure of Y6Er5Sc.

Calculated values
Energy relative to the elements ... 0.4 eV/f.u.
Total energy ... -135.0 eV per cell

a = 6.101 Å, b = 10.555 Å, c = 11.666 Å
α = 90.00°, β = 100.01°, γ = 90.00°
Space group C2/m (No. 12)
Symmetry-distinct sites (fractional):
Y: 0.248 0.166 0.248 [8 per cell]
Y: 0.249 0.000 0.752 [4 per cell]
Er: 0.000 0.166 0.500 [4 per cell]
Er: 0.000 0.333 0.000 [4 per cell]
Er: 0.000 0.500 0.500 [2 per cell]
Sc: 0.000 0.000 0.000 [2 per cell]